# PBE NpBeSi, optimized geometry
# final energy: -91.16 eV per cell
# M_tot: 0.00 Bohr magnetons per cell
data_NpBeSi
_chemical_formula_sum 'Np4 Be4 Si4'
_cell_length_a 6.952
_cell_length_b 3.529
_cell_length_c 7.127
_cell_angle_alpha 90.00
_cell_angle_beta 90.00
_cell_angle_gamma 90.00
_space_group_name_H-M_alt 'P n m a'
_space_group_IT_number 62
_space_group_name_Hall '-P 2ac 2n'
loop_
_atom_site_label
_atom_site_fract_x
_atom_site_fract_y
_atom_site_fract_z
Np1 0.001 0.250 0.117
Be1 0.174 0.750 0.393
Si1 0.162 0.250 0.598


# PBE NpBeSi, optimized geometry
# final energy: -87.46 eV per cell
# M_tot: 0.00 Bohr magnetons per cell
data_NpBeSi
_chemical_formula_sum 'Np4 Be4 Si4'
_cell_length_a 4.564
_cell_length_b 4.976
_cell_length_c 7.663
_cell_angle_alpha 90.00
_cell_angle_beta 90.00
_cell_angle_gamma 90.00
_space_group_name_H-M_alt 'P n m a'
_space_group_IT_number 62
_space_group_name_Hall '-P 2ac 2n'
loop_
_atom_site_label
_atom_site_fract_x
_atom_site_fract_y
_atom_site_fract_z
Np1 0.106 0.250 0.194
Be1 0.145 0.250 0.838
Si1 0.123 0.250 0.552


# PBE NpTaBe17, optimized geometry
# energy of formation: -1.29 eV per formula unit
# final energy: -268.29 eV per cell
# M_tot: 10.03 Bohr magnetons per cell
data_NpTaBe17
_chemical_formula_sum 'Np3 Ta3 Be51'
_cell_length_a 7.5172
_cell_length_b 7.5172
_cell_length_c 10.9932
_cell_angle_alpha 90.00
_cell_angle_beta 90.00
_cell_angle_gamma 120.00
_space_group_name_H-M_alt 'R 3 m'
_space_group_IT_number 160
_space_group_name_Hall 'R 3 -2"'
loop_
_atom_site_label
_atom_site_fract_x
_atom_site_fract_y
_atom_site_fract_z
Np1 0.0000 0.0000 0.0000
Ta1 0.0000 0.0000 0.3258
Be1 0.0000 0.0000 0.5622
Be2 0.0000 0.0000 0.7550
Be3 0.0030 0.5015 0.1601
Be4 0.0482 0.3787 0.3284
Be5 0.1672 0.3344 0.1529
Be6 0.1684 0.3368 0.8390


# PBE NpTaBe4, optimized geometry
# energy of formation: 1.28 eV per formula unit
# final energy: -153.68 eV per cell
# M_tot: 14.90 Bohr magnetons per cell
data_NpTaBe4
_chemical_formula_sum 'Np4 Ta4 Be16'
_cell_length_a 6.732
_cell_length_b 6.732
_cell_length_c 6.732
_cell_angle_alpha 90.00
_cell_angle_beta 90.00
_cell_angle_gamma 90.00
_space_group_name_H-M_alt 'F -4 3 m'
_space_group_IT_number 216
_space_group_name_Hall 'F -4 2 3'
loop_
_atom_site_label
_atom_site_fract_x
_atom_site_fract_y
_atom_site_fract_z
Np1 0.000 0.000 0.000
Ta1 0.250 0.250 0.750
Be1 0.124 0.124 0.376


# PBE NpBe4Tc, optimized geometry
# energy of formation: 0.69 eV per formula unit
# final energy: -150.09 eV per cell
# M_tot: 10.54 Bohr magnetons per cell
data_NpBe4Tc
_chemical_formula_sum 'Np4 Be16 Tc4'
_cell_length_a 6.624
_cell_length_b 6.624
_cell_length_c 6.624
_cell_angle_alpha 90.00
_cell_angle_beta 90.00
_cell_angle_gamma 90.00
_space_group_name_H-M_alt 'F -4 3 m'
_space_group_IT_number 216
_space_group_name_Hall 'F -4 2 3'
loop_
_atom_site_label
_atom_site_fract_x
_atom_site_fract_y
_atom_site_fract_z
Np1 0.000 0.000 0.000
Be1 0.123 0.123 0.623
Tc1 0.250 0.250 0.250


# PBE NpBeTc2, optimized geometry
# energy of formation: 0.06 eV per formula unit
# final energy: -37.34 eV per cell
# M_tot: 0.32 Bohr magnetons per cell
data_NpBeTc2
_chemical_formula_sum 'Np1 Be1 Tc2'
_cell_length_a 4.144
_cell_length_b 4.144
_cell_length_c 3.459
_cell_angle_alpha 90.00
_cell_angle_beta 90.00
_cell_angle_gamma 90.00
_space_group_name_H-M_alt 'P 4/m m m'
_space_group_IT_number 123
_space_group_name_Hall '-P 4 2'
loop_
_atom_site_label
_atom_site_fract_x
_atom_site_fract_y
_atom_site_fract_z
Np1 0.000 0.000 0.000
Be1 0.500 0.500 0.000
Tc1 0.000 0.500 0.500


# PBE NpTi2Be, optimized geometry
# energy of formation: 0.99 eV per formula unit
# final energy: -31.47 eV per cell
# M_tot: 3.44 Bohr magnetons per cell
data_NpTi2Be
_chemical_formula_sum 'Np1 Ti2 Be1'
_cell_length_a 4.192
_cell_length_b 4.192
_cell_length_c 3.655
_cell_angle_alpha 90.00
_cell_angle_beta 90.00
_cell_angle_gamma 90.00
_space_group_name_H-M_alt 'P 4/m m m'
_space_group_IT_number 123
_space_group_name_Hall '-P 4 2'
loop_
_atom_site_label
_atom_site_fract_x
_atom_site_fract_y
_atom_site_fract_z
Np1 0.000 0.000 0.000
Ti1 0.000 0.500 0.500
Be1 0.500 0.500 0.000


# PBE NpTi2Be, optimized geometry
# energy of formation: 1.53 eV per formula unit
# final energy: -92.77 eV per cell
# M_tot: 2.28 Bohr magnetons per cell
data_NpTi2Be
_chemical_formula_sum 'Np3 Ti6 Be3'
_cell_length_a 2.7506
_cell_length_b 2.7506
_cell_length_c 28.8168
_cell_angle_alpha 90.00
_cell_angle_beta 90.00
_cell_angle_gamma 120.00
_space_group_name_H-M_alt 'R -3 m'
_space_group_IT_number 166
_space_group_name_Hall '-R 3 2"'
loop_
_atom_site_label
_atom_site_fract_x
_atom_site_fract_y
_atom_site_fract_z
Np1 0.0000 0.0000 0.0000
Ti1 0.0000 0.0000 0.0970
Be1 0.0000 0.0000 0.5000


# PBE NpTiBe4, optimized geometry
# energy of formation: 0.86 eV per formula unit
# final energy: -139.52 eV per cell
# M_tot: 14.47 Bohr magnetons per cell
data_NpTiBe4
_chemical_formula_sum 'Np4 Ti4 Be16'
_cell_length_a 6.674
_cell_length_b 6.674
_cell_length_c 6.674
_cell_angle_alpha 90.00
_cell_angle_beta 90.00
_cell_angle_gamma 90.00
_space_group_name_H-M_alt 'F -4 3 m'
_space_group_IT_number 216
_space_group_name_Hall 'F -4 2 3'
loop_
_atom_site_label
_atom_site_fract_x
_atom_site_fract_y
_atom_site_fract_z
Np1 0.000 0.000 0.000
Ti1 0.250 0.250 0.750
Be1 0.123 0.123 0.377


# PBE NpTi2Be, optimized geometry
# energy of formation: 0.53 eV per formula unit
# final energy: -31.93 eV per cell
# M_tot: 2.73 Bohr magnetons per cell
data_NpTi2Be
_chemical_formula_sum 'Np1 Ti2 Be1'
_cell_length_a 2.811
_cell_length_b 2.811
_cell_length_c 7.960
_cell_angle_alpha 90.00
_cell_angle_beta 90.00
_cell_angle_gamma 90.00
_space_group_name_H-M_alt 'P 4/m m m'
_space_group_IT_number 123
_space_group_name_Hall '-P 4 2'
loop_
_atom_site_label
_atom_site_fract_x
_atom_site_fract_y
_atom_site_fract_z
Np1 0.000 0.000 0.000
Ti1 0.500 0.500 0.297
Be1 0.000 0.000 0.500


# PBE NpUBe17, optimized geometry
# energy of formation: 0.04 eV per formula unit
# final energy: -262.59 eV per cell
# M_tot: 15.82 Bohr magnetons per cell
data_NpUBe17
_chemical_formula_sum 'Np3 U3 Be51'
_cell_length_a 7.7029
_cell_length_b 7.7029
_cell_length_c 11.2020
_cell_angle_alpha 90.00
_cell_angle_beta 90.00
_cell_angle_gamma 120.00
_space_group_name_H-M_alt 'R 3 m'
_space_group_IT_number 160
_space_group_name_Hall 'R 3 -2"'
loop_
_atom_site_label
_atom_site_fract_x
_atom_site_fract_y
_atom_site_fract_z
Np1 0.0000 0.0000 0.0000
U1 0.0000 0.0000 0.6883
Be1 0.0000 0.0000 0.2465
Be2 0.0000 0.0000 0.4417
Be3 0.0001 0.2801 0.3440
Be4 0.0066 0.5033 0.1856
Be5 0.1671 0.3341 0.1776
Be6 0.1705 0.3409 0.8357


# PBE NpBe17V, optimized geometry
# energy of formation: -0.29 eV per formula unit
# final energy: -257.08 eV per cell
# M_tot: 9.74 Bohr magnetons per cell
data_NpBe17V
_chemical_formula_sum 'Np3 Be51 V3'
_cell_length_a 7.4821
_cell_length_b 7.4821
_cell_length_c 10.9397
_cell_angle_alpha 90.00
_cell_angle_beta 90.00
_cell_angle_gamma 120.00
_space_group_name_H-M_alt 'R 3 m'
_space_group_IT_number 160
_space_group_name_Hall 'R 3 -2"'
loop_
_atom_site_label
_atom_site_fract_x
_atom_site_fract_y
_atom_site_fract_z
Np1 0.0000 0.0000 0.0000
Be1 0.0000 0.0000 0.5598
Be2 0.0000 0.0000 0.7540
Be3 0.0008 0.5004 0.1604
Be4 0.0465 0.3750 0.3277
Be5 0.1691 0.3382 0.1507
Be6 0.1695 0.3391 0.8393
V1 0.0000 0.0000 0.3291


# PBE NpBeV2, optimized geometry
# energy of formation: 1.95 eV per formula unit
# final energy: -98.86 eV per cell
# M_tot: 5.24 Bohr magnetons per cell
data_NpBeV2
_chemical_formula_sum 'Np3 Be3 V6'
_cell_length_a 2.6583
_cell_length_b 2.6583
_cell_length_c 27.5542
_cell_angle_alpha 90.00
_cell_angle_beta 90.00
_cell_angle_gamma 120.00
_space_group_name_H-M_alt 'R -3 m'
_space_group_IT_number 166
_space_group_name_Hall '-R 3 2"'
loop_
_atom_site_label
_atom_site_fract_x
_atom_site_fract_y
_atom_site_fract_z
Np1 0.0000 0.0000 0.0000
Be1 0.0000 0.0000 0.5000
V1 0.0000 0.0000 0.0951


# PBE NpBe4W, optimized geometry
# energy of formation: 1.60 eV per formula unit
# final energy: -156.80 eV per cell
# M_tot: 14.93 Bohr magnetons per cell
data_NpBe4W
_chemical_formula_sum 'Np4 Be16 W4'
_cell_length_a 6.660
_cell_length_b 6.660
_cell_length_c 6.660
_cell_angle_alpha 90.00
_cell_angle_beta 90.00
_cell_angle_gamma 90.00
_space_group_name_H-M_alt 'F -4 3 m'
_space_group_IT_number 216
_space_group_name_Hall 'F -4 2 3'
loop_
_atom_site_label
_atom_site_fract_x
_atom_site_fract_y
_atom_site_fract_z
Np1 0.000 0.000 0.000
Be1 0.124 0.124 0.376
W1 0.250 0.250 0.750


# PBE Zr2NpBe, optimized geometry
# energy of formation: 1.98 eV per formula unit
# final energy: -95.35 eV per cell
# M_tot: 10.44 Bohr magnetons per cell
data_Zr2NpBe
_chemical_formula_sum 'Zr6 Np3 Be3'
_cell_length_a 3.0591
_cell_length_b 3.0591
_cell_length_c 30.4169
_cell_angle_alpha 90.00
_cell_angle_beta 90.00
_cell_angle_gamma 120.00
_space_group_name_H-M_alt 'R -3 m'
_space_group_IT_number 166
_space_group_name_Hall '-R 3 2"'
loop_
_atom_site_label
_atom_site_fract_x
_atom_site_fract_y
_atom_site_fract_z
Zr1 0.0000 0.0000 0.1026
Np1 0.0000 0.0000 0.0000
Be1 0.0000 0.0000 0.5000


# PBE ZrNpBe4, optimized geometry
# energy of formation: 0.98 eV per formula unit
# final energy: -141.65 eV per cell
# M_tot: 14.49 Bohr magnetons per cell
data_ZrNpBe4
_chemical_formula_sum 'Zr4 Np4 Be16'
_cell_length_a 6.864
_cell_length_b 6.864
_cell_length_c 6.864
_cell_angle_alpha 90.00
_cell_angle_beta 90.00
_cell_angle_gamma 90.00
_space_group_name_H-M_alt 'F -4 3 m'
_space_group_IT_number 216
_space_group_name_Hall 'F -4 2 3'
loop_
_atom_site_label
_atom_site_fract_x
_atom_site_fract_y
_atom_site_fract_z
Zr1 0.000 0.000 0.000
Np1 0.250 0.250 0.250
Be1 0.126 0.126 0.626


# PBE Zr2NpBe, optimized geometry
# energy of formation: 0.72 eV per formula unit
# final energy: -33.04 eV per cell
# M_tot: 3.99 Bohr magnetons per cell
data_Zr2NpBe
_chemical_formula_sum 'Zr2 Np1 Be1'
_cell_length_a 3.098
_cell_length_b 3.098
_cell_length_c 8.157
_cell_angle_alpha 90.00
_cell_angle_beta 90.00
_cell_angle_gamma 90.00
_space_group_name_H-M_alt 'P 4/m m m'
_space_group_IT_number 123
_space_group_name_Hall '-P 4 2'
loop_
_atom_site_label
_atom_site_fract_x
_atom_site_fract_y
_atom_site_fract_z
Zr1 0.000 0.000 0.203
Np1 0.500 0.500 0.500
Be1 0.500 0.500 0.000


# PBE BeO4, optimized geometry
# final energy: -21.50 eV per cell
# M_tot: 6.00 Bohr magnetons per cell
data_BeO4
_chemical_formula_sum 'Be1 O4'
_cell_length_a 3.569
_cell_length_b 3.569
_cell_length_c 3.569
_cell_angle_alpha 90.00
_cell_angle_beta 90.00
_cell_angle_gamma 90.00
_space_group_name_H-M_alt 'P m -3 m'
_space_group_IT_number 221
_space_group_name_Hall '-P 4 2 3'
loop_
_atom_site_label
_atom_site_fract_x
_atom_site_fract_y
_atom_site_fract_z
Be1 0.000 0.000 0.000
O1 0.000 0.000 0.500
O2 0.500 0.500 0.500


# PBE Be4O, optimized geometry
# final energy: -21.33 eV per cell
# M_tot: 0.00 Bohr magnetons per cell
data_Be4O
_chemical_formula_sum 'Be4 O1'
_cell_length_a 3.452
_cell_length_b 3.452
_cell_length_c 3.452
_cell_angle_alpha 90.00
_cell_angle_beta 90.00
_cell_angle_gamma 90.00
_space_group_name_H-M_alt 'P m -3 m'
_space_group_IT_number 221
_space_group_name_Hall '-P 4 2 3'
loop_
_atom_site_label
_atom_site_fract_x
_atom_site_fract_y
_atom_site_fract_z
Be1 0.000 0.000 0.000
Be2 0.000 0.500 0.500
O1 0.500 0.500 0.500


# PBE BeO4, optimized geometry
# final energy: -26.39 eV per cell
# M_tot: 2.03 Bohr magnetons per cell
data_BeO4
_chemical_formula_sum 'Be1 O4'
_cell_length_a 4.277
_cell_length_b 2.828
_cell_length_c 5.704
_cell_angle_alpha 90.00
_cell_angle_beta 110.28
_cell_angle_gamma 90.00
_space_group_name_H-M_alt 'P 1 2/m 1'
_space_group_IT_number 10
_space_group_name_Hall '-P 2y'
loop_
_atom_site_label
_atom_site_fract_x
_atom_site_fract_y
_atom_site_fract_z
Be1 0.000 0.000 0.000
O1 0.135 0.000 0.483
O2 0.197 0.500 0.035


# PBE BeO8, optimized geometry
# final energy: -76.09 eV per cell
# M_tot: 3.12 Bohr magnetons per cell
data_BeO8
_chemical_formula_sum 'Be2 O16'
_cell_length_a 2.645
_cell_length_b 12.968
_cell_length_c 7.643
_cell_angle_alpha 90.00
_cell_angle_beta 98.79
_cell_angle_gamma 90.00
_space_group_name_H-M_alt 'C 1 2/m 1'
_space_group_IT_number 12
_space_group_name_Hall '-C 2y'
loop_
_atom_site_label
_atom_site_fract_x
_atom_site_fract_y
_atom_site_fract_z
Be1 0.000 0.000 0.000
O1 0.000 0.404 0.000
O2 0.018 0.500 0.835
O3 0.085 0.280 0.692


# PBE Be2OsO, optimized geometry
# final energy: -102.93 eV per cell
# M_tot: 0.00 Bohr magnetons per cell
data_Be2OsO
_chemical_formula_sum 'Be8 Os4 O4'
_cell_length_a 4.951
_cell_length_b 4.951
_cell_length_c 6.569
_cell_angle_alpha 90.00
_cell_angle_beta 90.00
_cell_angle_gamma 90.00
_space_group_name_H-M_alt 'I -4 2 d'
_space_group_IT_number 122
_space_group_name_Hall 'I -4 2bw'
loop_
_atom_site_label
_atom_site_fract_x
_atom_site_fract_y
_atom_site_fract_z
Be1 0.124 0.250 0.125
Os1 0.000 0.000 0.500
O1 0.000 0.000 0.000


# PBE BeOsO2, optimized geometry
# final energy: -90.77 eV per cell
# M_tot: 0.00 Bohr magnetons per cell
data_BeOsO2
_chemical_formula_sum 'Be3 Os3 O6'
_cell_length_a 2.6546
_cell_length_b 2.6546
_cell_length_c 17.4179
_cell_angle_alpha 90.00
_cell_angle_beta 90.00
_cell_angle_gamma 120.00
_space_group_name_H-M_alt 'R -3 m'
_space_group_IT_number 166
_space_group_name_Hall '-R 3 2"'
loop_
_atom_site_label
_atom_site_fract_x
_atom_site_fract_y
_atom_site_fract_z
Be1 0.0000 0.0000 0.0000
Os1 0.0000 0.0000 0.5000
O1 0.0000 0.0000 0.3896


# PBE BeOsO2, optimized geometry
# final energy: -79.78 eV per cell
# M_tot: 0.00 Bohr magnetons per cell
data_BeOsO2
_chemical_formula_sum 'Be3 Os3 O6'
_cell_length_a 2.8292
_cell_length_b 2.8292
_cell_length_c 17.6021
_cell_angle_alpha 90.00
_cell_angle_beta 90.00
_cell_angle_gamma 120.00
_space_group_name_H-M_alt 'R -3 m'
_space_group_IT_number 166
_space_group_name_Hall '-R 3 2"'
loop_
_atom_site_label
_atom_site_fract_x
_atom_site_fract_y
_atom_site_fract_z
Be1 0.0000 0.0000 0.0000
Os1 0.0000 0.0000 0.5000
O1 0.0000 0.0000 0.0877


# PBE BeOsO3, optimized geometry
# final energy: -31.44 eV per cell
# M_tot: 0.00 Bohr magnetons per cell
data_BeOsO3
_chemical_formula_sum 'Be1 Os1 O3'
_cell_length_a 3.406
_cell_length_b 3.406
_cell_length_c 3.406
_cell_angle_alpha 90.00
_cell_angle_beta 90.00
_cell_angle_gamma 90.00
_space_group_name_H-M_alt 'P m -3 m'
_space_group_IT_number 221
_space_group_name_Hall '-P 4 2 3'
loop_
_atom_site_label
_atom_site_fract_x
_atom_site_fract_y
_atom_site_fract_z
Be1 0.000 0.000 0.000
Os1 0.500 0.500 0.500
O1 0.000 0.000 0.500